Entry 1:
VASP calculation (PBE-GGA) on V2SnAs after structural relaxation.

```
data_V2SnAs
_cell_length_a 4.3136
_cell_length_b 4.3136
_cell_length_c 5.3501
_cell_angle_alpha 66.23
_cell_angle_beta 66.23
_cell_angle_gamma 60.00
_symmetry_space_group_name_H-M 'P 1'
_symmetry_Int_Tables_number 1
_symmetry_space_group_name_Hall 'P 1'
loop_
_atom_site_label
_atom_site_type_symbol
_atom_site_fract_x
_atom_site_fract_y
_atom_site_fract_z
As1 As 0.5000 0.5000 0.5000
Sn1 Sn 0.0000 0.0000 0.0000
V1 V 0.8128 0.8128 0.5616
V2 V 0.1872 0.1872 0.4384
```

Computed properties:
Offset from the most stable computed form = 0.00 eV/f.u.
Crystal system = trigonal
SG = No. 166
Magnetization = 0.0000 μB/atom
Density of states at the Fermi level = 2.711 states/eV per cell
E_tot = -0.245 Ha/atom
Formation enthalpy at 0 K = 45 meV per atom

---

Entry 2:
VASP calculation (PBE-GGA) on VSnAs after structural relaxation.

```
data_VSnAs
_cell_length_a 4.4899
_cell_length_b 6.7071
_cell_length_c 7.7379
_cell_angle_alpha 90.00
_cell_angle_beta 90.00
_cell_angle_gamma 90.00
_symmetry_space_group_name_H-M 'P 1'
_symmetry_Int_Tables_number 1
_symmetry_space_group_name_Hall 'P 1'
loop_
_atom_site_label
_atom_site_type_symbol
_atom_site_fract_x
_atom_site_fract_y
_atom_site_fract_z
As1 As 0.7500 0.1770 0.6929
As2 As 0.2500 0.6770 0.8071
As3 As 0.2500 0.8230 0.3071
As4 As 0.7500 0.3230 0.1929
V1 V 0.7500 0.0190 0.4073
V2 V 0.2500 0.5190 0.0927
V3 V 0.2500 0.9810 0.5927
V4 V 0.7500 0.4810 0.9073
Sn1 Sn 0.7500 0.6562 0.5711
Sn2 Sn 0.2500 0.1562 0.9289
Sn3 Sn 0.2500 0.3438 0.4289
Sn4 Sn 0.7500 0.8438 0.0711
```

Computed properties:
Crystal system = orthorhombic
SG = No. 62
Magnetization = 0.0000 μB/atom
Density of states at the Fermi level = 6.340 states/eV per cell
E_tot = -0.219 Ha/atom
Formation enthalpy at 0 K = -38 meV per atom

---

Entry 3:
VASP calculation (PBE-GGA) on V2SnAs after structural relaxation.

```
data_V2SnAs
_cell_length_a 7.1271
_cell_length_b 7.1271
_cell_length_c 5.7768
_cell_angle_alpha 51.91
_cell_angle_beta 51.91
_cell_angle_gamma 90.00
_symmetry_space_group_name_H-M 'P 1'
_symmetry_Int_Tables_number 1
_symmetry_space_group_name_Hall 'P 1'
loop_
_atom_site_label
_atom_site_type_symbol
_atom_site_fract_x
_atom_site_fract_y
_atom_site_fract_z
As1 As 0.5000 0.5000 0.0000
As2 As 0.2500 0.7500 0.5000
Sn1 Sn 0.0000 0.0000 0.0000
Sn2 Sn 0.7500 0.2500 0.5000
V1 V 0.5762 0.1250 0.2500
V2 V 0.1738 0.6250 0.2500
V3 V 0.3750 0.4238 0.7500
V4 V 0.8750 0.8262 0.7500
```

Computed properties:
Offset from the most stable computed form = 0.93 eV/f.u.
Crystal system = tetragonal
SG = No. 122
Magnetization = 0.0001 μB/atom
Density of states at the Fermi level = 8.550 states/eV per cell
E_tot = -0.237 Ha/atom
Formation enthalpy at 0 K = 277 meV per atom

---

Entry 4:
VASP calculation (PBE-GGA) on VSn3As after structural relaxation.

```
data_VSn3As
_cell_length_a 5.1641
_cell_length_b 5.1641
_cell_length_c 5.1641
_cell_angle_alpha 90.00
_cell_angle_beta 90.00
_cell_angle_gamma 90.00
_symmetry_space_group_name_H-M 'P 1'
_symmetry_Int_Tables_number 1
_symmetry_space_group_name_Hall 'P 1'
loop_
_atom_site_label
_atom_site_type_symbol
_atom_site_fract_x
_atom_site_fract_y
_atom_site_fract_z
As1 As 0.5000 0.5000 0.5000
Sn1 Sn 0.0000 0.5000 0.0000
Sn2 Sn 0.0000 0.0000 0.5000
Sn3 Sn 0.5000 0.0000 0.0000
V1 V 0.0000 0.0000 0.0000
```

Computed properties:
Offset from the most stable computed form = 0.00 eV/f.u.
Crystal system = cubic
SG = No. 221
Magnetization = 0.4185 μB/atom
Density of states at the Fermi level = 7.994 states/eV per cell
E_tot = -0.171 Ha/atom
Formation enthalpy at 0 K = 507 meV per atom

---

Entry 5:
VASP calculation (PBE-GGA) on VSn3As after structural relaxation.

```
data_VSn3As
_cell_length_a 5.3362
_cell_length_b 5.3362
_cell_length_c 5.3362
_cell_angle_alpha 90.00
_cell_angle_beta 90.00
_cell_angle_gamma 90.00
_symmetry_space_group_name_H-M 'P 1'
_symmetry_Int_Tables_number 1
_symmetry_space_group_name_Hall 'P 1'
loop_
_atom_site_label
_atom_site_type_symbol
_atom_site_fract_x
_atom_site_fract_y
_atom_site_fract_z
As1 As 0.0000 0.0000 0.0000
Sn1 Sn 0.0000 0.5000 0.0000
Sn2 Sn 0.0000 0.0000 0.5000
Sn3 Sn 0.5000 0.0000 0.0000
V1 V 0.5000 0.5000 0.5000
```

Computed properties:
Offset from the most stable computed form = 2.05 eV/f.u.
Crystal system = cubic
SG = No. 221
Magnetization = 0.7367 μB/atom
Density of states at the Fermi level = 8.929 states/eV per cell
E_tot = -0.156 Ha/atom
Formation enthalpy at 0 K = 917 meV per atom

---

Entry 6:
VASP calculation (PBE-GGA) on VSn2As after structural relaxation.

```
data_VSn2As
_cell_length_a 6.6128
_cell_length_b 6.6128
_cell_length_c 7.3059
_cell_angle_alpha 63.09
_cell_angle_beta 63.09
_cell_angle_gamma 90.00
_symmetry_space_group_name_H-M 'P 1'
_symmetry_Int_Tables_number 1
_symmetry_space_group_name_Hall 'P 1'
loop_
_atom_site_label
_atom_site_type_symbol
_atom_site_fract_x
_atom_site_fract_y
_atom_site_fract_z
As1 As 0.0000 0.0000 0.0000
As2 As 0.7500 0.2500 0.5000
Sn1 Sn 0.6320 0.1250 0.2500
Sn2 Sn 0.1180 0.6250 0.2500
Sn3 Sn 0.3750 0.3680 0.7500
Sn4 Sn 0.8750 0.8820 0.7500
V1 V 0.5000 0.5000 0.0000
V2 V 0.2500 0.7500 0.5000
```

Computed properties:
Crystal system = tetragonal
SG = No. 122
Magnetization = 0.7486 μB/atom
Density of states at the Fermi level = 9.836 states/eV per cell
E_tot = -0.179 Ha/atom
Formation enthalpy at 0 K = 572 meV per atom

---

Entry 7:
VASP calculation (PBE-GGA) on V2Sn2As after structural relaxation.

```
data_V2Sn2As
_cell_length_a 6.5329
_cell_length_b 6.5329
_cell_length_c 4.3361
_cell_angle_alpha 90.00
_cell_angle_beta 90.00
_cell_angle_gamma 90.00
_symmetry_space_group_name_H-M 'P 1'
_symmetry_Int_Tables_number 1
_symmetry_space_group_name_Hall 'P 1'
loop_
_atom_site_label
_atom_site_type_symbol
_atom_site_fract_x
_atom_site_fract_y
_atom_site_fract_z
As1 As 0.0000 0.0000 0.0000
As2 As 0.5000 0.5000 0.0000
Sn1 Sn 0.1664 0.6664 0.5000
Sn2 Sn 0.6664 0.8336 0.5000
Sn3 Sn 0.8336 0.3336 0.5000
Sn4 Sn 0.3336 0.1664 0.5000
V1 V 0.3656 0.8656 0.0000
V2 V 0.8656 0.6344 0.0000
V3 V 0.6344 0.1344 0.0000
V4 V 0.1344 0.3656 0.0000
```

Computed properties:
Crystal system = tetragonal
SG = No. 127
Magnetization = 0.0000 μB/atom
Density of states at the Fermi level = 8.774 states/eV per cell
E_tot = -0.225 Ha/atom
Formation enthalpy at 0 K = 50 meV per atom

---

Entry 8:
VASP calculation (PBE-GGA) on VSn2As2 after structural relaxation.

```
data_VSn2As2
_cell_length_a 6.5005
_cell_length_b 6.5005
_cell_length_c 5.4673
_cell_angle_alpha 90.00
_cell_angle_beta 90.00
_cell_angle_gamma 90.00
_symmetry_space_group_name_H-M 'P 1'
_symmetry_Int_Tables_number 1
_symmetry_space_group_name_Hall 'P 1'
loop_
_atom_site_label
_atom_site_type_symbol
_atom_site_fract_x
_atom_site_fract_y
_atom_site_fract_z
As1 As 0.3642 0.8642 0.0000
As2 As 0.8642 0.6358 0.0000
As3 As 0.6358 0.1358 0.0000
As4 As 0.1358 0.3642 0.0000
Sn1 Sn 0.2362 0.7362 0.5000
Sn2 Sn 0.7362 0.7638 0.5000
Sn3 Sn 0.7638 0.2638 0.5000
Sn4 Sn 0.2638 0.2362 0.5000
V1 V 0.0000 0.0000 0.0000
V2 V 0.5000 0.5000 0.0000
```

Computed properties:
Crystal system = tetragonal
SG = No. 127
Magnetization = 0.5233 μB/atom
Density of states at the Fermi level = 4.593 states/eV per cell
E_tot = -0.192 Ha/atom
Formation enthalpy at 0 K = 67 meV per atom

---

Entry 9:
VASP calculation (PBE-GGA) on V2SnAs after structural relaxation.

```
data_V2SnAs
_cell_length_a 4.5097
_cell_length_b 4.5097
_cell_length_c 4.5097
_cell_angle_alpha 60.00
_cell_angle_beta 60.00
_cell_angle_gamma 60.00
_symmetry_space_group_name_H-M 'P 1'
_symmetry_Int_Tables_number 1
_symmetry_space_group_name_Hall 'P 1'
loop_
_atom_site_label
_atom_site_type_symbol
_atom_site_fract_x
_atom_site_fract_y
_atom_site_fract_z
As1 As 0.0000 0.0000 0.0000
Sn1 Sn 0.5000 0.5000 0.5000
V1 V 0.2500 0.2500 0.2500
V2 V 0.7500 0.7500 0.7500
```

Computed properties:
Offset from the most stable computed form = 0.43 eV/f.u.
Crystal system = cubic
SG = No. 225
Magnetization = 0.0000 μB/atom
Density of states at the Fermi level = 3.238 states/eV per cell
E_tot = -0.241 Ha/atom
Formation enthalpy at 0 K = 153 meV per atom

---

Entry 10:
VASP calculation (PBE-GGA) on VSnAs3 after structural relaxation.

```
data_VSnAs3
_cell_length_a 4.8119
_cell_length_b 4.8119
_cell_length_c 4.8119
_cell_angle_alpha 90.00
_cell_angle_beta 90.00
_cell_angle_gamma 90.00
_symmetry_space_group_name_H-M 'P 1'
_symmetry_Int_Tables_number 1
_symmetry_space_group_name_Hall 'P 1'
loop_
_atom_site_label
_atom_site_type_symbol
_atom_site_fract_x
_atom_site_fract_y
_atom_site_fract_z
As1 As 0.0000 0.5000 0.0000
As2 As 0.0000 0.0000 0.5000
As3 As 0.5000 0.0000 0.0000
Sn1 Sn 0.5000 0.5000 0.5000
V1 V 0.0000 0.0000 0.0000
```

Computed properties:
Offset from the most stable computed form = 0.00 eV/f.u.
Crystal system = cubic
SG = No. 221
Magnetization = 0.0000 μB/atom
Density of states at the Fermi level = 3.618 states/eV per cell
E_tot = -0.192 Ha/atom
Formation enthalpy at 0 K = 182 meV per atom

---

Entry 11:
VASP calculation (PBE-GGA) on VSnAs after structural relaxation.

```
data_VSnAs
_cell_length_a 3.7193
_cell_length_b 4.2541
_cell_length_c 4.2541
_cell_angle_alpha 120.00
_cell_angle_beta 90.00
_cell_angle_gamma 90.00
_symmetry_space_group_name_H-M 'P 1'
_symmetry_Int_Tables_number 1
_symmetry_space_group_name_Hall 'P 1'
loop_
_atom_site_label
_atom_site_type_symbol
_atom_site_fract_x
_atom_site_fract_y
_atom_site_fract_z
As1 As 0.1667 0.3333 0.6667
Sn1 Sn 0.6667 0.6667 0.3333
V1 V 0.1666 0.0000 0.0000
```

Computed properties:
Crystal system = hexagonal
SG = No. 187
Magnetization = 0.0000 μB/atom
Density of states at the Fermi level = 1.856 states/eV per cell
E_tot = -0.214 Ha/atom
Formation enthalpy at 0 K = 96 meV per atom

---

Entry 12:
VASP calculation (PBE-GGA) on VSnAs after structural relaxation.

```
data_VSnAs
_cell_length_a 3.3278
_cell_length_b 3.3278
_cell_length_c 5.4633
_cell_angle_alpha 107.73
_cell_angle_beta 107.73
_cell_angle_gamma 90.00
_symmetry_space_group_name_H-M 'P 1'
_symmetry_Int_Tables_number 1
_symmetry_space_group_name_Hall 'P 1'
loop_
_atom_site_label
_atom_site_type_symbol
_atom_site_fract_x
_atom_site_fract_y
_atom_site_fract_z
As1 As 0.2975 0.2975 0.5951
Sn1 Sn 0.0059 0.0059 0.0118
V1 V 0.6966 0.6966 0.3931
```

Computed properties:
Crystal system = tetragonal
SG = No. 107
Magnetization = 0.1826 μB/atom
Density of states at the Fermi level = 2.513 states/eV per cell
E_tot = -0.221 Ha/atom
Formation enthalpy at 0 K = -103 meV per atom

---

Q: Look up the E_tot of the second one.
A: -0.219 Ha/atom

---

Q: What is the formula in the first record?
A: V2SnAs

---

Q: What is the E_tot in the third record?
A: -0.237 Ha/atom